Here is crystalline NdSm5Al6 at its relaxed geometry from the Alexandria database. Energies are from PBE-GGA.

Output
* calculated density: 5.8 g cm⁻³
* SG: Cmmm
* total moment: 0.00 μB per formula unit
* DOS at the Fermi energy: 0.402 states/eV per atom
* calculated formation energy: -8.5 kcal/mol of atoms

a b c (Å): 8.236 8.236 7.402
angles (deg): 90.00 90.00 143.15
Sites, in units of the cell vectors:
Nd (0.000, 0.000, 0.000)
Sm (0.000, 0.000, 0.500)
Sm (0.333, 0.667, 0.000)
Sm (0.334, 0.666, 0.500)
Sm (0.666, 0.334, 0.500)
Sm (0.667, 0.333, 0.000)
Al (0.168, 0.832, 0.252)
Al (0.168, 0.832, 0.748)
Al (0.500, 0.500, 0.251)
Al (0.500, 0.500, 0.749)
Al (0.832, 0.168, 0.252)
Al (0.832, 0.168, 0.748)

---

Here is crystalline RbNaSnTe3 at its relaxed geometry from the Alexandria database. Energies are from PBE-GGA.

Output
* calculated density: 3.9 g cm⁻³
* SG: C2/m
* total moment: 0.00 μB per formula unit
* formation energy without anion corrections: -0.51 eV per atom
* DOS at the Fermi energy: 0.510 states/eV per atom

a b c (Å): 7.504 7.504 9.490
angles (deg): 90.70 90.70 77.45
Sites, in units of the cell vectors:
Rb (0.143, 0.143, 0.385)
Rb (0.857, 0.857, 0.615)
Na (0.297, 0.703, 0.000)
Na (0.703, 0.297, 0.000)
Sn (0.485, 0.485, 0.345)
Sn (0.515, 0.515, 0.655)
Te (0.113, 0.634, 0.280)
Te (0.317, 0.317, 0.817)
Te (0.366, 0.887, 0.720)
Te (0.634, 0.113, 0.280)
Te (0.683, 0.683, 0.183)
Te (0.887, 0.366, 0.720)

---

Here is crystalline Ca3Th3MoN8 at its relaxed geometry from the Alexandria database. Energies are from PBE-GGA.

Output
* calculated density: 6.9 g cm⁻³
* SG: R-3m
* total moment: 0.00 μB per formula unit
* formation energy without anion corrections: -1.15 eV per atom

a b c (Å): 7.008 7.008 7.008
angles (deg): 60.43 60.43 60.43
Sites, in units of the cell vectors:
Ca (0.000, 0.500, 0.500)
Ca (0.500, 0.000, 0.500)
Ca (0.500, 0.500, 0.000)
Th (0.000, 0.000, 0.500)
Th (0.000, 0.500, 0.000)
Th (0.500, 0.000, 0.000)
Mo (0.500, 0.500, 0.500)
N (0.244, 0.244, 0.244)
N (0.275, 0.712, 0.712)
N (0.288, 0.288, 0.725)
N (0.288, 0.725, 0.288)
N (0.712, 0.275, 0.712)
N (0.712, 0.712, 0.275)
N (0.725, 0.288, 0.288)
N (0.756, 0.756, 0.756)

---

Here is crystalline BaSnS2Cl at its relaxed geometry from the Alexandria database. Energies are from PBE-GGA.

Output
* calculated density: 3.1 g cm⁻³
* SG: P4/mmm
* energy relative to the lowest polymorph listed for this composition: 87.8 kJ/mol of atoms
* total moment: 0.02 μB per formula unit
* formation energy without anion corrections: -0.26 eV per atom
* DOS at the Fermi energy: 0.864 states/eV per atom

a b c (Å): 5.768 5.768 5.691
angles (deg): 90.00 90.00 90.00
Sites, in units of the cell vectors:
Ba (0.000, 0.000, 0.000)
Sn (0.500, 0.500, 0.500)
S (0.000, 0.500, 0.000)
S (0.500, 0.000, 0.000)
Cl (0.000, 0.000, 0.500)

---

Here is crystalline LiGaC at its relaxed geometry from the Alexandria database. Energies are from PBE-GGA.

Output
* calculated density: 2.7 g cm⁻³
* SG: Cmcm
* total moment: 0.00 μB per formula unit
* DOS at the Fermi energy: 0.000 states/eV per atom
* calculated formation energy: 12.8 kcal/mol of atoms

a b c (Å): 5.133 5.133 5.830
angles (deg): 90.00 90.00 133.67
Sites, in units of the cell vectors:
Li (0.185, 0.815, 0.750)
Li (0.815, 0.185, 0.250)
Ga (0.500, 0.500, 0.000)
Ga (0.500, 0.500, 0.500)
C (0.378, 0.622, 0.250)
C (0.622, 0.378, 0.750)

---

Here is crystalline Mg5Sn2PdRh2 at its relaxed geometry from the Alexandria database. Energies are from PBE-GGA.

Output
* calculated density: 6.0 g cm⁻³
* SG: P4/mbm
* total moment: 0.00 μB per formula unit
* DOS at the Fermi energy: 0.571 states/eV per atom
* calculated formation energy: -9.0 kcal/mol of atoms

a b c (Å): 9.459 9.459 4.181
angles (deg): 90.00 90.00 90.00
Sites, in units of the cell vectors:
Mg (0.000, 0.500, 0.000)
Mg (0.077, 0.200, 0.000)
Mg (0.200, 0.923, 0.000)
Mg (0.300, 0.423, 0.000)
Mg (0.423, 0.700, 0.000)
Mg (0.500, 0.000, 0.000)
Mg (0.577, 0.300, 0.000)
Mg (0.700, 0.577, 0.000)
Mg (0.800, 0.077, 0.000)
Mg (0.923, 0.800, 0.000)
Sn (0.172, 0.672, 0.500)
Sn (0.328, 0.172, 0.500)
Sn (0.672, 0.828, 0.500)
Sn (0.828, 0.328, 0.500)
Pd (0.000, 0.000, 0.500)
Pd (0.500, 0.500, 0.500)
Rh (0.121, 0.379, 0.500)
Rh (0.379, 0.879, 0.500)
Rh (0.621, 0.121, 0.500)
Rh (0.879, 0.621, 0.500)

---

Here is crystalline SiSe at its relaxed geometry from the Alexandria database. Energies are from PBE-GGA.

Output
* calculated density: 3.6 g cm⁻³
* SG: I4/m
* total moment: 0.00 μB per formula unit
* formation energy without anion corrections: 0.07 eV per atom

a b c (Å): 6.564 6.564 6.564
angles (deg): 100.49 100.49 129.49
Sites, in units of the cell vectors:
Si (0.059, 0.692, 0.751)
Si (0.308, 0.059, 0.366)
Si (0.692, 0.941, 0.634)
Si (0.941, 0.308, 0.249)
Se (0.203, 0.436, 0.639)
Se (0.436, 0.797, 0.233)
Se (0.564, 0.203, 0.767)
Se (0.797, 0.564, 0.361)

---

Here is crystalline BaSr6Hg3 at its relaxed geometry from the Alexandria database. Energies are from PBE-GGA.

Output
* calculated density: 4.9 g cm⁻³
* SG: P2_1/m
* total moment: 0.00 μB per formula unit
* DOS at the Fermi energy: 1.211 states/eV per atom
* calculated formation energy: -5.7 kcal/mol of atoms

a b c (Å): 9.846 6.045 14.890
angles (deg): 90.00 102.70 90.00
Sites, in units of the cell vectors:
Ba (0.183, 0.250, 0.229)
Ba (0.817, 0.750, 0.771)
Sr (0.035, 0.250, 0.916)
Sr (0.117, 0.750, 0.392)
Sr (0.233, 0.750, 0.761)
Sr (0.364, 0.250, 0.533)
Sr (0.412, 0.250, 0.033)
Sr (0.437, 0.750, 0.213)
Sr (0.563, 0.250, 0.787)
Sr (0.588, 0.750, 0.967)
Sr (0.636, 0.750, 0.467)
Sr (0.767, 0.250, 0.239)
Sr (0.883, 0.250, 0.608)
Sr (0.965, 0.750, 0.084)
Hg (0.021, 0.250, 0.427)
Hg (0.243, 0.750, 0.989)
Hg (0.488, 0.750, 0.653)
Hg (0.512, 0.250, 0.347)
Hg (0.757, 0.250, 0.011)
Hg (0.979, 0.750, 0.573)

---

Here is crystalline MnIn2Tc at its relaxed geometry from the Alexandria database. Energies are from PBE-GGA.

Output
* calculated density: 8.8 g cm⁻³
* SG: P4mm
* energy relative to the lowest polymorph listed for this composition: 0.0 kJ/mol of atoms
* total moment: 0.62 μB per formula unit
* DOS at the Fermi energy: 0.874 states/eV per atom
* calculated formation energy: 4.5 kcal/mol of atoms

a b c (Å): 2.973 2.973 8.186
angles (deg): 90.00 90.00 90.00
Sites, in units of the cell vectors:
Mn (0.000, 0.000, 0.000)
In (0.000, 0.000, 0.412)
In (0.500, 0.500, 0.765)
Tc (0.500, 0.500, 0.158)

---

Here is crystalline Tb3GeC at its relaxed geometry from the Alexandria database. Energies are from PBE-GGA.

Output
* calculated density: 8.4 g cm⁻³
* SG: Pnma
* total moment: 0.41 μB per formula unit
* DOS at the Fermi energy: 0.773 states/eV per atom
* calculated formation energy: -12.5 kcal/mol of atoms

a b c (Å): 8.221 3.814 14.109
angles (deg): 90.00 90.00 90.00
Sites, in units of the cell vectors:
Tb (0.019, 0.250, 0.102)
Tb (0.169, 0.250, 0.510)
Tb (0.200, 0.750, 0.295)
Tb (0.300, 0.250, 0.795)
Tb (0.331, 0.750, 0.010)
Tb (0.481, 0.750, 0.602)
Tb (0.519, 0.250, 0.398)
Tb (0.669, 0.250, 0.990)
Tb (0.700, 0.750, 0.205)
Tb (0.800, 0.250, 0.705)
Tb (0.831, 0.750, 0.490)
Tb (0.981, 0.750, 0.898)
Ge (0.089, 0.750, 0.675)
Ge (0.411, 0.250, 0.175)
Ge (0.589, 0.750, 0.825)
Ge (0.911, 0.250, 0.325)
C (0.165, 0.250, 0.943)
C (0.335, 0.750, 0.443)
C (0.665, 0.250, 0.557)
C (0.835, 0.750, 0.057)

---

Here is crystalline ErScZn17 at its relaxed geometry from the Alexandria database. Energies are from PBE-GGA.

Output
* calculated density: 7.3 g cm⁻³
* SG: R3m
* total moment: 0.00 μB per formula unit
* DOS at the Fermi energy: 0.198 states/eV per atom
* calculated formation energy: -4.5 kcal/mol of atoms

a b c (Å): 6.741 6.741 6.741
angles (deg): 82.57 82.57 82.57
Sites, in units of the cell vectors:
Er (0.000, 0.000, 0.000)
Sc (0.332, 0.332, 0.332)
Zn (0.022, 0.022, 0.496)
Zn (0.022, 0.496, 0.022)
Zn (0.161, 0.669, 0.669)
Zn (0.314, 0.314, 0.821)
Zn (0.314, 0.821, 0.314)
Zn (0.366, 0.663, 0.967)
Zn (0.366, 0.967, 0.663)
Zn (0.496, 0.022, 0.022)
Zn (0.562, 0.562, 0.562)
Zn (0.663, 0.366, 0.967)
Zn (0.663, 0.967, 0.366)
Zn (0.669, 0.161, 0.669)
Zn (0.669, 0.669, 0.161)
Zn (0.763, 0.763, 0.763)
Zn (0.821, 0.314, 0.314)
Zn (0.967, 0.366, 0.663)
Zn (0.967, 0.663, 0.366)

---

Here is crystalline Ba2LiMg12Ag3 at its relaxed geometry from the Alexandria database. Energies are from PBE-GGA.

Output
* calculated density: 2.6 g cm⁻³
* SG: R-3m
* total moment: 0.00 μB per formula unit
* DOS at the Fermi energy: 0.511 states/eV per atom
* calculated formation energy: 4.2 kcal/mol of atoms

a b c (Å): 8.757 8.757 8.757
angles (deg): 69.28 69.28 69.28
Sites, in units of the cell vectors:
Ba (0.100, 0.100, 0.100)
Ba (0.900, 0.900, 0.900)
Li (0.500, 0.500, 0.500)
Mg (0.141, 0.628, 0.628)
Mg (0.217, 0.217, 0.635)
Mg (0.217, 0.635, 0.217)
Mg (0.365, 0.783, 0.783)
Mg (0.372, 0.372, 0.859)
Mg (0.372, 0.859, 0.372)
Mg (0.628, 0.141, 0.628)
Mg (0.628, 0.628, 0.141)
Mg (0.635, 0.217, 0.217)
Mg (0.783, 0.365, 0.783)
Mg (0.783, 0.783, 0.365)
Mg (0.859, 0.372, 0.372)
Ag (0.000, 0.500, 0.500)
Ag (0.500, 0.000, 0.500)
Ag (0.500, 0.500, 0.000)